[1]
A plane-wave DFT calculation with PBE was carried out for a relaxed structure of Y2PtAuCl.

Calculated values
**Energy relative to the elements, uncorrected**: -222 meV per atom
**N(E_F)**: 3.59 states/eV per cell

a = 5.4663 Å, b = 5.4663 Å, c = 5.0141 Å
α = 90.00°, β = 90.00°, γ = 90.00°
Space group P4/mmm (No. 123)
Inequivalent atoms, fractional coordinates:
Y: 0.0000 0.5000 0.0000
Pt: 0.0000 0.0000 0.5000
Au: 0.0000 0.0000 0.0000
Cl: 0.5000 0.5000 0.5000

=====

[2]
A plane-wave DFT calculation with PBE was carried out for a relaxed structure of LaGe2RhS.

Calculated values
**Energy relative to the elements, uncorrected**: -806 meV per atom
**N(E_F)**: 0.55 states/eV per cell
**Distance to the lowest polymorph of the same formula**: 0.057 eV per atom

a = 4.6864 Å, b = 4.6864 Å, c = 5.7037 Å
α = 90.00°, β = 90.00°, γ = 120.00°
Space group P3m1 (No. 156)
Inequivalent atoms, fractional coordinates:
La: 0.0000 0.0000 0.0000
Ge: 0.3333 0.6667 0.5592
Ge: 0.6667 0.3333 0.3948
Rh: 0.0000 0.0000 0.5054
S: 0.3333 0.6667 0.9895

=====

[3]
A plane-wave DFT calculation with PBE was carried out for a relaxed structure of In2ReW.

Calculated values
**N(E_F)**: 7.34 states/eV per cell
**Formation energy**: 688 meV per atom
**Distance to the lowest polymorph of the same formula**: 0.425 eV per atom

a = 4.2689 Å, b = 4.2689 Å, c = 7.8847 Å
α = 90.00°, β = 90.00°, γ = 90.00°
Space group I-4m2 (No. 119)
Inequivalent atoms, fractional coordinates:
In: 0.0000 0.0000 0.0000
In: 0.0000 0.5000 0.2500
Re: 0.0000 0.5000 0.7500
W: 0.0000 0.0000 0.5000

=====

[4]
A plane-wave DFT calculation with PBE was carried out for a relaxed structure of La2PrY3As6.

Calculated values
**N(E_F)**: 3.28 states/eV per cell
**Formation energy**: -1545 meV per atom

a = 18.4680 Å, b = 4.2434 Å, c = 8.4723 Å
α = 90.00°, β = 103.16°, γ = 90.00°
Space group C2/m (No. 12)
Inequivalent atoms, fractional coordinates:
La: 0.1663 0.0000 0.3326
Pr: 0.0000 0.5000 0.0000
Y: 0.0000 0.5000 0.5000
Y: 0.1665 0.0000 0.8337
As: 0.0029 0.0000 0.7445
As: 0.1638 0.5000 0.5904
As: 0.1689 0.5000 0.0760

=====

[5]
A plane-wave DFT calculation with PBE was carried out for a relaxed structure of BaNd2.

Calculated values
**N(E_F)**: 8.69 states/eV per cell
**Formation energy**: 124 meV per atom
**Distance to the lowest polymorph of the same formula**: 0.000 eV per atom

a = 3.8343 Å, b = 3.8343 Å, c = 17.0315 Å
α = 90.00°, β = 90.00°, γ = 90.00°
Space group I4/mmm (No. 139)
Inequivalent atoms, fractional coordinates:
Ba: 0.0000 0.0000 0.0000
Nd: 0.0000 0.0000 0.3189

=====

[6]
A plane-wave DFT calculation with PBE was carried out for a relaxed structure of TmGaOs.

Calculated values
**N(E_F)**: 2.46 states/eV per cell
**Formation energy**: -334 meV per atom

a = 4.3479 Å, b = 4.3479 Å, c = 3.4993 Å
α = 90.00°, β = 90.00°, γ = 120.00°
Space group P-6m2 (No. 187)
Inequivalent atoms, fractional coordinates:
Tm: 0.0000 0.0000 0.0000
Ga: 0.3333 0.6667 0.5000
Os: 0.6667 0.3333 0.5000